Th3FeTe2 | PBE | optimized geometry

The structure in CIF format:
```
data_Th3FeTe2
_chemical_formula_sum 'Th6 Fe2 Te4'
_space_group_name_H-M_alt 'P 1'
_space_group_IT_number 1
_space_group_name_Hall 'P 1'
_cell_length_a 7.3900
_cell_length_b 7.3900
_cell_length_c 7.9059
_cell_angle_alpha 99.15
_cell_angle_beta 99.15
_cell_angle_gamma 119.64
loop_
_atom_site_label
_atom_site_fract_x
_atom_site_fract_y
_atom_site_fract_z
Th1 0.0571 0.4332 0.7960
Th2 0.1926 0.1926 0.1994
Th3 0.4332 0.0571 0.7960
Th4 0.5668 0.9429 0.2040
Th5 0.8074 0.8074 0.8006
Th6 0.9429 0.5668 0.2040
Fe1 0.1677 0.8323 0.0000
Fe2 0.8323 0.1677 0.0000
Te1 0.0000 0.0000 0.5000
Te2 0.3478 0.6522 0.5000
Te3 0.5000 0.5000 0.0000
Te4 0.6522 0.3478 0.5000
```

Relative energy among the computed polymorphs (meV per atom): 0.0
Density of states at the Fermi level (states/eV/atom): 0.960
ΔE_f (raw) (eV/f.u.): -4.8

Th4FeTe | PBE | optimized geometry

The structure in CIF format:
```
data_Th4FeTe
_chemical_formula_sum 'Th8 Fe2 Te2'
_space_group_name_H-M_alt 'P 1'
_space_group_IT_number 1
_space_group_name_Hall 'P 1'
_cell_length_a 9.3837
_cell_length_b 9.3837
_cell_length_c 9.2537
_cell_angle_alpha 104.70
_cell_angle_beta 104.70
_cell_angle_gamma 30.63
loop_
_atom_site_label
_atom_site_fract_x
_atom_site_fract_y
_atom_site_fract_z
Th1 0.0015 0.0015 0.2034
Th2 0.2074 0.2074 0.8838
Th3 0.2481 0.2481 0.3507
Th4 0.3932 0.3932 0.9261
Th5 0.6068 0.6068 0.0739
Th6 0.7519 0.7519 0.6493
Th7 0.7926 0.7926 0.1162
Th8 0.9985 0.9985 0.7966
Fe1 0.1240 0.1240 0.0765
Fe2 0.8760 0.8760 0.9235
Te1 0.1197 0.1197 0.5386
Te2 0.8803 0.8803 0.4614
```

Density of states at the Fermi level (states/eV/atom): 1.114
ΔE_f (raw) (eV/f.u.): -0.6

Th5Fe2Te2 | PBE | optimized geometry

The structure in CIF format:
```
data_Th5Fe2Te2
_chemical_formula_sum 'Th10 Fe4 Te4'
_space_group_name_H-M_alt 'P 1'
_space_group_IT_number 1
_space_group_name_Hall 'P 1'
_cell_length_a 9.0525
_cell_length_b 9.0525
_cell_length_c 7.3508
_cell_angle_alpha 90.00
_cell_angle_beta 90.00
_cell_angle_gamma 54.92
loop_
_atom_site_label
_atom_site_fract_x
_atom_site_fract_y
_atom_site_fract_z
Th1 0.0000 0.0000 0.0000
Th2 0.0590 0.7185 0.6468
Th3 0.2185 0.5590 0.1468
Th4 0.2815 0.9410 0.6468
Th5 0.4410 0.7815 0.1468
Th6 0.5000 0.5000 0.5000
Th7 0.5590 0.2185 0.8532
Th8 0.7185 0.0590 0.3532
Th9 0.7815 0.4410 0.8532
Th10 0.9410 0.2815 0.3532
Fe1 0.1078 0.8922 0.3319
Fe2 0.3922 0.6078 0.8319
Fe3 0.6078 0.3922 0.1681
Fe4 0.8922 0.1078 0.6681
Te1 0.2070 0.2070 0.0000
Te2 0.2930 0.2930 0.5000
Te3 0.7070 0.7070 0.5000
Te4 0.7930 0.7930 0.0000
```

Density of states at the Fermi level (states/eV/atom): 0.856
ΔE_f (raw) (eV/f.u.): -4.7

Th3FeTe2 | PBE | optimized geometry

The structure in CIF format:
```
data_Th3FeTe2
_chemical_formula_sum 'Th3 Fe1 Te2'
_space_group_name_H-M_alt 'P 1'
_space_group_IT_number 1
_space_group_name_Hall 'P 1'
_cell_length_a 7.9132
_cell_length_b 7.9132
_cell_length_c 3.9970
_cell_angle_alpha 104.01
_cell_angle_beta 104.01
_cell_angle_gamma 46.45
loop_
_atom_site_label
_atom_site_fract_x
_atom_site_fract_y
_atom_site_fract_z
Th1 0.0000 0.0000 0.0000
Th2 0.3745 0.3745 0.3606
Th3 0.6255 0.6255 0.6394
Fe1 0.5000 0.5000 0.0000
Te1 0.1829 0.1829 0.6794
Te2 0.8171 0.8171 0.3206
```

Relative energy among the computed polymorphs (meV per atom): 25.6
Density of states at the Fermi level (states/eV/atom): 0.930
ΔE_f (raw) (eV/f.u.): -4.6

Th6FeTe5 | PBE | optimized geometry

The structure in CIF format:
```
data_Th6FeTe5
_chemical_formula_sum 'Th6 Fe1 Te5'
_space_group_name_H-M_alt 'P 1'
_space_group_IT_number 1
_space_group_name_Hall 'P 1'
_cell_length_a 7.7317
_cell_length_b 7.7317
_cell_length_c 7.5408
_cell_angle_alpha 99.84
_cell_angle_beta 99.84
_cell_angle_gamma 118.89
loop_
_atom_site_label
_atom_site_fract_x
_atom_site_fract_y
_atom_site_fract_z
Th1 0.0689 0.3564 0.7150
Th2 0.2033 0.2033 0.2498
Th3 0.3564 0.0689 0.7150
Th4 0.6436 0.9311 0.2850
Th5 0.7967 0.7967 0.7502
Th6 0.9311 0.6436 0.2850
Fe1 0.0000 0.0000 0.5000
Te1 0.1927 0.8073 0.0000
Te2 0.3410 0.6590 0.5000
Te3 0.5000 0.5000 0.0000
Te4 0.6590 0.3410 0.5000
Te5 0.8073 0.1927 0.0000
```

Density of states at the Fermi level (states/eV/atom): 0.805
ΔE_f (raw) (eV/f.u.): -11.3

Th4FeTe5 | PBE | optimized geometry

The structure in CIF format:
```
data_Th4FeTe5
_chemical_formula_sum 'Th4 Fe1 Te5'
_space_group_name_H-M_alt 'P 1'
_space_group_IT_number 1
_space_group_name_Hall 'P 1'
_cell_length_a 9.5500
_cell_length_b 9.5500
_cell_length_c 8.9375
_cell_angle_alpha 103.40
_cell_angle_beta 103.40
_cell_angle_gamma 26.24
loop_
_atom_site_label
_atom_site_fract_x
_atom_site_fract_y
_atom_site_fract_z
Th1 0.0003 0.0003 0.2326
Th2 0.9997 0.9997 0.7674
Th3 0.3564 0.3564 0.9255
Th4 0.6436 0.6436 0.0745
Fe1 0.5000 0.5000 0.0000
Te1 0.1714 0.1714 0.3360
Te2 0.1738 0.1738 0.8315
Te3 0.5000 0.5000 0.5000
Te4 0.8262 0.8262 0.1685
Te5 0.8286 0.8286 0.6640
```

Density of states at the Fermi level (states/eV/atom): 0.414
ΔE_f (raw) (eV/f.u.): -8.9

Ti3FeTe | PBE | optimized geometry

The structure in CIF format:
```
data_Ti3FeTe
_chemical_formula_sum 'Ti3 Fe1 Te1'
_space_group_name_H-M_alt 'P 1'
_space_group_IT_number 1
_space_group_name_Hall 'P 1'
_cell_length_a 4.5278
_cell_length_b 4.5278
_cell_length_c 4.5278
_cell_angle_alpha 90.00
_cell_angle_beta 90.00
_cell_angle_gamma 90.00
loop_
_atom_site_label
_atom_site_fract_x
_atom_site_fract_y
_atom_site_fract_z
Ti1 0.0000 0.0000 0.5000
Ti2 0.0000 0.5000 0.0000
Ti3 0.5000 0.0000 0.0000
Fe1 0.0000 0.0000 0.0000
Te1 0.5000 0.5000 0.5000
```

Relative energy among the computed polymorphs (meV per atom): 0.0
Density of states at the Fermi level (states/eV/atom): 0.549
ΔE_f (raw) (eV/f.u.): -0.1

ZrTi2FeTe | PBE | optimized geometry

The structure in CIF format:
```
data_ZrTi2FeTe
_chemical_formula_sum 'Zr1 Ti2 Fe1 Te1'
_space_group_name_H-M_alt 'P 1'
_space_group_IT_number 1
_space_group_name_Hall 'P 1'
_cell_length_a 4.8152
_cell_length_b 4.8152
_cell_length_c 5.3067
_cell_angle_alpha 90.00
_cell_angle_beta 90.00
_cell_angle_gamma 90.00
loop_
_atom_site_label
_atom_site_fract_x
_atom_site_fract_y
_atom_site_fract_z
Zr1 0.0000 0.0000 0.0000
Ti1 0.0000 0.5000 0.0000
Ti2 0.5000 0.0000 0.0000
Fe1 0.5000 0.5000 0.5000
Te1 0.0000 0.0000 0.5000
```

Density of states at the Fermi level (states/eV/atom): 2.012
ΔE_f (raw) (eV/f.u.): 7.8

Tl2FeTe | PBE | optimized geometry

The structure in CIF format:
```
data_Tl2FeTe
_chemical_formula_sum 'Tl2 Fe1 Te1'
_space_group_name_H-M_alt 'P 1'
_space_group_IT_number 1
_space_group_name_Hall 'P 1'
_cell_length_a 5.9570
_cell_length_b 5.9570
_cell_length_c 3.1734
_cell_angle_alpha 90.00
_cell_angle_beta 90.00
_cell_angle_gamma 111.01
loop_
_atom_site_label
_atom_site_fract_x
_atom_site_fract_y
_atom_site_fract_z
Tl1 0.0000 0.5000 0.0000
Tl2 0.5000 0.0000 0.0000
Fe1 0.0000 0.0000 0.5000
Te1 0.5000 0.5000 0.5000
```

Relative energy among the computed polymorphs (meV per atom): 307.0
Density of states at the Fermi level (states/eV/atom): 0.762
ΔE_f (raw) (eV/f.u.): 2.0

TlFe2Te | PBE | optimized geometry

The structure in CIF format:
```
data_TlFe2Te
_chemical_formula_sum 'Tl1 Fe2 Te1'
_space_group_name_H-M_alt 'P 1'
_space_group_IT_number 1
_space_group_name_Hall 'P 1'
_cell_length_a 8.3035
_cell_length_b 8.3035
_cell_length_c 8.3035
_cell_angle_alpha 22.89
_cell_angle_beta 22.89
_cell_angle_gamma 22.89
loop_
_atom_site_label
_atom_site_fract_x
_atom_site_fract_y
_atom_site_fract_z
Tl1 0.0000 0.0000 0.0000
Fe1 0.2451 0.2451 0.2451
Fe2 0.7549 0.7549 0.7549
Te1 0.5000 0.5000 0.5000
```

Relative energy among the computed polymorphs (meV per atom): 300.3
Density of states at the Fermi level (states/eV/atom): 1.036
ΔE_f (raw) (eV/f.u.): 2.3

Tl2FeTe | PBE | optimized geometry

The structure in CIF format:
```
data_Tl2FeTe
_chemical_formula_sum 'Tl2 Fe1 Te1'
_space_group_name_H-M_alt 'P 1'
_space_group_IT_number 1
_space_group_name_Hall 'P 1'
_cell_length_a 4.2825
_cell_length_b 4.3675
_cell_length_c 5.7059
_cell_angle_alpha 90.00
_cell_angle_beta 90.00
_cell_angle_gamma 90.00
loop_
_atom_site_label
_atom_site_fract_x
_atom_site_fract_y
_atom_site_fract_z
Tl1 0.0000 0.0000 0.0000
Tl2 0.5000 0.5000 0.0000
Fe1 0.0000 0.5000 0.5000
Te1 0.5000 0.0000 0.5000
```

Relative energy among the computed polymorphs (meV per atom): 264.4
Density of states at the Fermi level (states/eV/atom): 1.307
ΔE_f (raw) (eV/f.u.): 1.8

Tl2FeTe | PBE | optimized geometry

The structure in CIF format:
```
data_Tl2FeTe
_chemical_formula_sum 'Tl2 Fe1 Te1'
_space_group_name_H-M_alt 'P 1'
_space_group_IT_number 1
_space_group_name_Hall 'P 1'
_cell_length_a 10.8697
_cell_length_b 10.8697
_cell_length_c 10.8697
_cell_angle_alpha 17.50
_cell_angle_beta 17.50
_cell_angle_gamma 17.50
loop_
_atom_site_label
_atom_site_fract_x
_atom_site_fract_y
_atom_site_fract_z
Tl1 0.2354 0.2354 0.2354
Tl2 0.7646 0.7646 0.7646
Fe1 0.5000 0.5000 0.5000
Te1 0.0000 0.0000 0.0000
```

Relative energy among the computed polymorphs (meV per atom): 344.5
Density of states at the Fermi level (states/eV/atom): 1.214
ΔE_f (raw) (eV/f.u.): 2.2

TlFe2Te2 | PBE | optimized geometry

The structure in CIF format:
```
data_TlFe2Te2
_chemical_formula_sum 'Tl1 Fe2 Te2'
_space_group_name_H-M_alt 'P 1'
_space_group_IT_number 1
_space_group_name_Hall 'P 1'
_cell_length_a 5.6617
_cell_length_b 5.6617
_cell_length_c 5.6617
_cell_angle_alpha 124.74
_cell_angle_beta 124.74
_cell_angle_gamma 81.96
loop_
_atom_site_label
_atom_site_fract_x
_atom_site_fract_y
_atom_site_fract_z
Tl1 0.0000 0.0000 0.0000
Fe1 0.3667 0.3667 0.0000
Fe2 0.6333 0.6333 0.0000
Te1 0.2500 0.7500 0.5000
Te2 0.7500 0.2500 0.5000
```

Relative energy among the computed polymorphs (meV per atom): 236.3
Density of states at the Fermi level (states/eV/atom): 0.805
ΔE_f (raw) (eV/f.u.): 1.5